First-principles (meta-GGA SCAN) data for a PBEsol-optimized structure of Ba2TcMo, as listed in Alexandria.

The structure belongs to space group Pmmm (No. 47); the cell edges are 2.973, 5.501 and 5.927 Å and the angles 90.00°, 90.00° and 90.00°. The asymmetric unit holds Ba at (0.000, 0.000, 0.249), Tc at (0.500, 0.500, 0.000) and Mo at (0.500, 0.500, 0.500).

For the total magnetic moment, the calculation gives 0.00 μB/f.u. Its formation energy is 1.61 eV per atom.